# LiLa2Ge3Pt4 | Alexandria via LeMat-Bulk | PBE | relaxed
data_LiLa2Ge3Pt4
_chemical_formula_sum 'Li1 La2 Ge3 Pt4'
_symmetry_space_group_name_H-M 'P -4 m 2'
_symmetry_Int_Tables_number 115
_symmetry_space_group_name_Hall 'P -4 -2'
_cell_length_a 4.3594
_cell_length_b 4.3594
_cell_length_c 10.2561
_cell_angle_alpha 90.00
_cell_angle_beta 90.00
_cell_angle_gamma 90.00
loop_
_atom_site_label
_atom_site_type_symbol
_atom_site_fract_x
_atom_site_fract_y
_atom_site_fract_z
Li1 Li 0.0000 0.0000 0.0000
La1 La 0.0000 0.5000 0.7540
Ge1 Ge 0.0000 0.5000 0.3688
Ge2 Ge 0.5000 0.5000 0.0000
Pt1 Pt 0.0000 0.0000 0.5000
Pt2 Pt 0.0000 0.5000 0.1278
Pt3 Pt 0.5000 0.5000 0.5000
# DFT total energy (eV for the cell shown): -59.5
# Total magnetization (μB per formula unit): 0.00


# GeAuBr6 | Alexandria via LeMat-Bulk | PBE | relaxed
data_GeAuBr6
_chemical_formula_sum 'Ge1 Au1 Br6'
_symmetry_space_group_name_H-M 'P -1'
_symmetry_Int_Tables_number 2
_symmetry_space_group_name_Hall '-P 1'
_cell_length_a 6.2113
_cell_length_b 6.9632
_cell_length_c 7.8366
_cell_angle_alpha 110.81
_cell_angle_beta 111.86
_cell_angle_gamma 95.60
loop_
_atom_site_label
_atom_site_type_symbol
_atom_site_fract_x
_atom_site_fract_y
_atom_site_fract_z
Ge1 Ge 0.0000 0.0000 0.0000
Au1 Au 0.5000 0.5000 0.0000
Br1 Br 0.1321 0.6526 0.8709
Br2 Br 0.1914 0.1427 0.8000
Br3 Br 0.3588 0.1781 0.3191
# Formation energy without anion corrections (eV/atom): -0.23
# Total magnetization (μB per formula unit): 0.00